SrScAu | PBE | relaxed

Cell and atoms, written as POSCAR:
```
SrScAu
1.0
-1.818 1.818 6.383
1.818 -1.818 6.383
1.818 1.818 -6.383
Sr Sc Au
1 1 1
Direct
0.000 0.000 0.000
0.727 0.727 0.000
0.319 0.319 0.000
```

Values from the calculation:
Energy relative to the elements, eV/atom: -0.44
Energy above the most stable polymorph in this dataset, eV/atom: 0.1106
Space group: No. 107